The following is a DFT calculation (PBE-GGA) of CrCdFe2 after structural relaxation.

**Energy of formation from the pure elements**: 0.31 eV per atom
**Total magnetic moment**: 3.412 μB/cell

Cell lengths 3.0112, 3.0249, 6.1405 Å; angles 90.00, 90.00, 90.00 degrees
With the nearest neighbours (Å) after each atom.
Space group Pmm2 (No. 25)
One atom of each set of equivalent atoms:
Cr (0.0000, 0.0000, 0.0000) [1 per cell]  5 Fe 2.41-2.43
Cd (0.5000, 0.5000, 0.3104) [1 per cell]  6 Fe 2.81-3.08, 4 Cr 2.86, 4 Cd 3.01-3.02
Fe (0.0000, 0.0000, 0.6070) [1 per cell]  1 Cr 2.41, 4 Fe 2.48
Fe (0.5000, 0.5000, 0.8117) [1 per cell]  4 Cr 2.43, 4 Fe 2.48